A crystal of ZnTcCl2 relaxed with PBEsol. Source: Alexandria, functional SCAN.

Values from the calculation:
**Magnetization**: 0.00 μB/f.u.
**Crystal system**: trigonal
**ΔE_f (raw)**: 0.124 eV/atom
**Total DFT energy (no corrections)**: -16.009 eV per atom

abc: 2.891 2.891 29.338
angles: 90.00 90.00 120.00
Atoms (fractional coordinates):
Zn 0.000 0.000 0.000
Zn 0.333 0.667 0.667
Zn 0.667 0.333 0.333
Tc 0.000 0.000 0.500
Tc 0.333 0.667 0.167
Tc 0.667 0.333 0.833
Cl 0.000 0.000 0.425
Cl 0.000 0.000 0.575
Cl 0.333 0.667 0.092
Cl 0.333 0.667 0.242
Cl 0.667 0.333 0.758
Cl 0.667 0.333 0.908